Density functional theory data (SCAN) for a crystal of Fe2Tc relaxed with PBEsol.

As for the formation energy: 6 meV per atom. As for the magnetic moment: 1.580 μB/atom.

The structure belongs to space group I4/mmm (No. 139); the cell edges are 2.860, 2.860 and 8.713 Å and the angles 90.00°, 90.00° and 90.00°. The distinct sites, in fractional coordinates, are Fe at (0.000, 0.000, 0.174) and Tc at (0.000, 0.000, 0.500).